ErZrCSe | PBE | relaxed

Cell lengths 3.5895, 3.5895, 12.9342 Å; angles 90.00, 90.00, 120.00 degrees
Space group P-3m1 (No. 164)
Inequivalent atoms, fractional coordinates:
1 Er 0.3333 0.6667 0.1018
2 Zr 0.3333 0.6667 0.4077
3 C 0.0000 0.0000 0.0000
4 C 0.0000 0.0000 0.5000
5 Se 0.3333 0.6667 0.7382

Values from the calculation:
**Polymorph energy (0 for the lowest one)**: 0.0053 eV/atom
**Mass density**: 8042 kg/m³

***

ErZrCSe | PBE | relaxed

Cell lengths 3.5760, 3.5760, 12.9521 Å; angles 90.00, 90.00, 120.00 degrees
Space group P-6m2 (No. 187)
Inequivalent atoms, fractional coordinates:
1 Er 0.0000 0.0000 0.1536
2 Zr 0.6667 0.3333 0.3506
3 C 0.3333 0.6667 0.2624
4 Se 0.0000 0.0000 0.5000
5 Se 0.6667 0.3333 0.0000

Values from the calculation:
**Polymorph energy (0 for the lowest one)**: 0.0096 eV/atom
**Mass density**: 8091 kg/m³

***

Er15Si9C | PBE | relaxed

Cell lengths 14.4526, 14.4526, 6.3390 Å; angles 90.00, 90.00, 120.00 degrees
Space group P6_3mc (No. 186)
Inequivalent atoms, fractional coordinates:
1 Er 0.0142 0.3400 0.0000
2 Er 0.0803 0.1606 0.2599
3 Er 0.1750 0.5875 0.2739
4 Er 0.2546 0.5093 0.7188
5 Si 0.0667 0.5333 0.7375
6 Si 0.1323 0.2646 0.7291
7 Si 0.1990 0.3980 0.2823
8 C 0.3333 0.6667 0.4967

Values from the calculation:
**E_tot**: -144.2 eV/f.u.
**Mass density**: 8033 kg/m³

***

Er2Si2C3 | PBE | relaxed

Cell lengths 11.304, 3.259, 5.108 Å; angles 90.00, 102.37, 90.00 degrees
Space group C2/m (No. 12)
Inequivalent atoms, fractional coordinates:
1 Er 0.159 0.000 0.207
2 Si 0.076 0.500 0.710
3 C 0.000 0.500 0.000
4 C 0.171 0.000 0.712

Values from the calculation:
**E_tot**: -50.0 eV/f.u.
**Mass density**: 7711 kg/m³